## LuTeAuO (GGA-PBE)

Data for LuTeAuO after structural relaxation.

POSCAR file:
```
LuTeAuO
1.0
5.5705 0.0000 0.0000
0.0000 5.5834 0.0000
0.0000 0.0000 10.1138
Lu Te Au O
4 4 4 4
Cartesian
0.0000 0.0000 0.0000 Lu
0.0000 2.7917 2.0516 Lu
2.7852 0.0000 2.0516 Lu
2.7852 2.7917 0.0000 Lu
0.0000 0.0000 3.8485 Te
0.0000 2.7917 8.2980 Te
2.7852 0.0000 8.2980 Te
2.7852 2.7917 3.8485 Te
1.2351 1.1515 6.1073 Au
1.5502 3.9432 6.1073 Au
4.0203 1.6402 6.1073 Au
4.3354 4.4319 6.1073 Au
1.3890 1.3905 1.0224 O
1.3963 4.1822 1.0224 O
4.1742 1.4012 1.0224 O
4.1815 4.1929 1.0224 O
```

* space-group type: No. 32
* energy above the most stable polymorph in this dataset: 0.032 eV/atom
* V: 314.6 Å³ per cell
* total moment: 0.0 μB per formula unit
* crystal system: orthorhombic
* electronic total energy: -5.72 eV/atom

## GdHoSi2Ir (GGA-PBE)

Data for GdHoSi2Ir after structural relaxation.

POSCAR file:
```
GdHoSi2Ir
1.0
5.2353 -2.1254 0.0000
5.2353 2.1254 0.0000
-4.7426 0.0000 9.0095
Gd Ho Si Ir
2 2 4 2
Cartesian
-1.5016 0.0000 2.9395 Gd
7.2297 0.0000 6.0700 Gd
1.4445 0.0000 1.0251 Ho
4.2835 0.0000 7.9844 Ho
1.5618 0.0000 4.0041 Si
4.5638 0.0000 1.0301 Si
1.1642 0.0000 7.9794 Si
4.1662 0.0000 5.0054 Si
-0.2736 0.0000 5.9379 Ir
6.0016 0.0000 3.0717 Ir
```

* space-group type: No. 12
* V: 200.5 Å³ per cell
* total moment: 0.0 μB per formula unit
* crystal system: monoclinic
* electronic total energy: -6.74 eV/atom

## NbCdCoBi (GGA-PBE)

Data for NbCdCoBi after structural relaxation.

POSCAR file:
```
NbCdCoBi
1.0
0.0000 3.3521 3.3521
3.3521 0.0000 3.3521
3.3521 3.3521 0.0000
Nb Cd Co Bi
1 1 1 1
Cartesian
0.0000 0.0000 0.0000 Nb
5.0282 5.0282 5.0282 Cd
3.3521 3.3521 3.3521 Co
1.6761 1.6761 1.6761 Bi
```

* space-group type: No. 216
* energy above the most stable polymorph in this dataset: 0.000 eV/atom
* V: 75.3 Å³ per cell
* total moment: 2.0 μB per formula unit
* crystal system: cubic
* electronic total energy: -4.96 eV/atom

## Y2Hf4Bi3N3 (GGA-PBE)

Data for Y2Hf4Bi3N3 after structural relaxation.

POSCAR file:
```
Y2Hf4Bi3N3
1.0
5.2273 -3.0031 0.0000
5.2273 3.0031 0.0000
-3.5443 0.0000 14.3644
Y Hf Bi N
4 8 6 6
Cartesian
2.6221 2.5247 8.5011 Y
2.5162 2.5247 13.0455 Y
4.3942 -2.5247 1.3189 Y
4.2883 -2.5247 5.8633 Y
2.5769 0.4722 1.1150 Hf
2.5761 0.5436 6.0698 Hf
0.8048 -0.4722 8.2972 Hf
0.8039 -0.5436 13.2520 Hf
6.1064 0.5436 1.1124 Hf
6.1056 0.4722 6.0672 Hf
4.3343 -0.5436 8.2946 Hf
4.3334 -0.4722 13.2494 Hf
-0.7944 0.5613 10.8090 Bi
0.9777 -0.5613 3.6268 Bi
2.5691 0.3581 10.7733 Bi
4.3412 -0.3581 3.5911 Bi
5.9326 0.5613 10.7376 Bi
7.7048 -0.5613 3.5554 Bi
0.8415 1.5015 7.1822 N
4.3020 1.4117 0.0016 N
4.3804 1.4117 7.1806 N
2.6137 -1.5015 0.0000 N
2.5299 -1.4117 7.1838 N
2.6083 -1.4117 14.3628 N
```

* space-group type: No. 15
* V: 451.0 Å³ per cell
* total moment: 0.0 μB per formula unit
* crystal system: monoclinic
* electronic total energy: -8.40 eV/atom

## GaCuPt2 (GGA-PBE)

Data for GaCuPt2 after structural relaxation.

POSCAR file:
```
GaCuPt2
1.0
4.1947 0.0000 0.0000
-2.0973 3.6327 0.0000
0.0000 0.0000 8.0170
Ga Cu Pt
2 2 4
Cartesian
0.0000 0.0000 2.0043 Ga
0.0000 0.0000 6.0128 Ga
0.0000 2.4218 2.0043 Cu
2.0973 1.2109 6.0128 Cu
0.0000 2.4218 4.6753 Pt
0.0000 2.4218 7.3502 Pt
2.0973 1.2109 0.6668 Pt
2.0973 1.2109 3.3417 Pt
```

* space-group type: No. 194
* V: 122.2 Å³ per cell
* total moment: 0.0 μB per formula unit
* crystal system: hexagonal
* electronic total energy: -4.93 eV/atom

## HfZnCuTc (GGA-PBE)

Data for HfZnCuTc after structural relaxation.

POSCAR file:
```
HfZnCuTc
1.0
0.0000 3.1412 3.1412
3.1412 0.0000 3.1412
3.1412 3.1412 0.0000
Hf Zn Cu Tc
1 1 1 1
Cartesian
0.0000 0.0000 0.0000 Hf
3.1412 3.1412 3.1412 Zn
4.7119 4.7119 4.7119 Cu
1.5706 1.5706 1.5706 Tc
```

* space-group type: No. 216
* energy above the most stable polymorph in this dataset: 0.000 eV/atom
* V: 62.0 Å³ per cell
* total moment: 0.0 μB per formula unit
* crystal system: cubic
* electronic total energy: -6.35 eV/atom
* energy relative to the elements: -0.1 eV per formula unit

## GdY2Sn2Pb5 (GGA-PBE)

Data for GdY2Sn2Pb5 after structural relaxation.

POSCAR file:
```
GdY2Sn2Pb5
1.0
2.2798 -13.4770 0.0000
2.2798 13.4770 0.0000
0.0000 0.0000 4.5508
Gd Y Sn Pb
1 2 2 5
Cartesian
0.0000 0.0000 0.0000 Gd
2.2798 5.1097 2.2754 Y
2.2798 -5.1097 2.2754 Y
2.2798 2.6092 0.0000 Sn
2.2798 -2.6092 0.0000 Sn
2.2798 10.8551 2.2754 Pb
2.2798 7.8458 0.0000 Pb
2.2798 0.0000 2.2754 Pb
2.2798 -7.8458 0.0000 Pb
2.2798 -10.8551 2.2754 Pb
```

* space-group type: No. 65
* energy above the most stable polymorph in this dataset: 0.018 eV/atom
* V: 279.6 Å³ per cell
* total moment: 0.0 μB per formula unit
* crystal system: orthorhombic
* electronic total energy: -4.81 eV/atom

## Tc2OsPb (GGA-PBE)

Data for Tc2OsPb after structural relaxation.

POSCAR file:
```
Tc2OsPb
1.0
0.0000 3.2172 3.2172
3.2172 0.0000 3.2172
3.2172 3.2172 0.0000
Tc Os Pb
2 1 1
Cartesian
0.0000 0.0000 0.0000 Tc
1.6086 1.6086 1.6086 Tc
4.8257 4.8257 4.8257 Os
3.2172 3.2172 3.2172 Pb
```

* space-group type: No. 216
* V: 66.6 Å³ per cell
* total moment: 2.0 μB per formula unit
* crystal system: cubic
* electronic total energy: -8.18 eV/atom